This record from Alexandria describes a relaxed structure of La12Hg6Ru. The functional is GGA-PBE.

As for the density of states at the Fermi level: 1.512 states/eV per atom. As for the magnetic moment: 0.000 μB/atom. As for the energy of formation from the pure elements: -5.289 eV/f.u. As for the total energy: -75.5 eV for the cell shown.

Unit cell a=8.6079 b=8.6079 c=8.6079 alpha=94.27 beta=94.27 gamma=94.27
Sites, in units of the cell vectors:
La 0.8047 0.5783 0.4604
La 0.4604 0.8047 0.5783
La 0.5783 0.4604 0.8047
La 0.1953 0.4217 0.5396
La 0.5396 0.1953 0.4217
La 0.4217 0.5396 0.1953
La 0.9713 0.0802 0.3160
La 0.9198 0.6841 0.0287
La 0.6841 0.0287 0.9198
La 0.0287 0.9198 0.6841
La 0.0802 0.3160 0.9713
La 0.3160 0.9713 0.0802
Hg 0.6507 0.8538 0.2634
Hg 0.7366 0.3493 0.1462
Hg 0.1462 0.7366 0.3493
Hg 0.3493 0.1462 0.7366
Hg 0.2634 0.6507 0.8538
Hg 0.8538 0.2634 0.6507
Ru 0.0000 0.0000 0.0000